Run P
Ni2PtW | meta-GGA SCAN | PBEsol geometry

**Total magnetic moment**: 0.000 μB per formula unit

Geometry as extended XYZ:
```
4
Lattice="-2.191 -2.836 -0.658 -0.145 -0.717 3.569 -1.891 4.062 -1.121" Properties=species:S:1:pos:R:3 pbc="T T T"
Ni -1.168 -1.776 1.456
Ni -2.625 -0.275 -0.162
W -1.602 0.785 1.952
Pt 0.000 0.000 0.000
```

---

Run Q
Ni2PtW | meta-GGA SCAN | PBEsol geometry

**Total magnetic moment**: 0.000 μB per formula unit

Geometry as extended XYZ:
```
4
Lattice="-0.506 2.604 0.340 -3.096 -0.998 3.042 3.826 -0.938 2.354" Properties=species:S:1:pos:R:3 pbc="T T T"
Ni 0.214 0.669 5.711
Ni -0.540 -0.574 3.588
W 0.767 1.242 2.147
Pt -1.792 0.801 1.715
```

---

Run R
Ni2PtW | meta-GGA SCAN | PBEsol geometry

**Total magnetic moment**: 0.002 μB per formula unit

Geometry as extended XYZ:
```
4
Lattice="-1.802 -2.056 2.676 2.531 0.756 2.284 -1.924 3.119 1.100" Properties=species:S:1:pos:R:3 pbc="T T T"
Ni 0.000 0.000 0.000
Ni -1.863 0.532 1.888
Pt 0.364 -0.650 2.480
W 0.303 1.937 1.692
```

---

Run S
Ni2PtW | meta-GGA SCAN | PBEsol geometry

**Total magnetic moment**: 0.000 μB per formula unit

Geometry as extended XYZ:
```
4
Lattice="3.736 0.000 0.000 0.000 3.736 0.000 -1.868 -1.868 3.658" Properties=species:S:1:pos:R:3 pbc="T T T"
Ni 1.868 0.000 1.829
Ni 0.000 1.868 1.829
W 1.868 1.868 0.000
Pt 0.000 0.000 0.000
```

---

Of them, the most stable is run P and the least stable is run R.

---

Run P
NiPtW2 | meta-GGA SCAN | PBEsol geometry

**Total magnetic moment**: 0.000 μB per formula unit

Geometry as extended XYZ:
```
4
Lattice="3.746 0.000 0.000 0.000 3.746 0.000 -1.873 -1.873 4.022" Properties=species:S:1:pos:R:3 pbc="T T T"
Ni 0.000 0.000 0.000
Pt 1.873 1.873 0.000
W 1.873 0.000 2.011
W 0.000 1.873 2.011
```

---

Run Q
NiPtW2 | meta-GGA SCAN | PBEsol geometry

**Total magnetic moment**: 0.001 μB per formula unit

Geometry as extended XYZ:
```
4
Lattice="-2.573 0.806 0.007 -0.672 -2.122 -1.521 -1.300 -4.210 6.446" Properties=species:S:1:pos:R:3 pbc="T T T"
Ni -0.655 -2.122 3.249
W -0.014 -0.044 0.068
W -2.564 -3.708 3.913
Pt -1.962 -1.757 0.926
```

---

Of them, the most stable is run P and the least stable is run Q.

---

Run P
NiPtW2 | meta-GGA SCAN | PBEsol geometry

**Total magnetic moment**: 0.000 μB per formula unit

Geometry as extended XYZ:
```
4
Lattice="-2.402 -2.607 2.509 1.909 -3.105 2.361 0.191 0.368 4.323" Properties=species:S:1:pos:R:3 pbc="T T T"
Ni 0.000 0.000 0.000
Pt -0.151 -2.672 4.597
W -0.075 -1.336 2.298
W -0.226 -4.008 6.895
```

---

Run Q
NiPtW2 | meta-GGA SCAN | PBEsol geometry

**Total magnetic moment**: 0.000 μB per formula unit

Geometry as extended XYZ:
```
4
Lattice="2.691 0.000 0.000 0.000 4.358 0.000 0.000 0.000 4.812" Properties=species:S:1:pos:R:3 pbc="T T T"
Ni 1.345 0.000 2.605
Pt 1.345 2.179 1.061
W 0.000 0.000 0.170
W 0.000 2.179 3.381
```

---

Of them, the most stable is run Q and the least stable is run P.

---

Run P
ReNi2 | meta-GGA SCAN | PBEsol geometry

**Total magnetic moment**: 0.000 μB per formula unit

Geometry as extended XYZ:
```
3
Lattice="-1.219 0.858 -2.016 0.738 -3.444 -1.912 -3.333 0.403 2.188" Properties=species:S:1:pos:R:3 pbc="T T T"
Re 0.000 0.000 0.000
Ni -2.586 -0.451 -0.186
Ni -1.229 -1.733 -1.553
```

---

Run Q
ReNi2 | meta-GGA SCAN | PBEsol geometry

**Total magnetic moment**: 0.000 μB per formula unit

Geometry as extended XYZ:
```
12
Lattice="3.548 0.000 0.000 0.000 5.168 0.000 0.000 0.000 7.709" Properties=species:S:1:pos:R:3 pbc="T T T"
Ni 2.661 4.497 5.781
Ni 2.661 4.560 3.198
Ni 0.887 3.191 7.053
Ni 0.887 3.254 1.926
Ni 2.661 1.914 5.783
Ni 2.661 1.977 0.656
Ni 0.887 0.607 4.511
Ni 0.887 0.670 1.928
Re 2.661 4.522 0.610
Re 0.887 3.229 4.464
Re 2.661 1.938 3.245
Re 0.887 0.646 7.099
```

---

Of them, the most stable is run P and the least stable is run Q.

---

Run P
ReNi2Rh | meta-GGA SCAN | PBEsol geometry

**Total magnetic moment**: 0.000 μB per formula unit

Geometry as extended XYZ:
```
4
Lattice="-3.109 -1.420 1.127 1.600 -3.201 0.381 1.641 3.175 2.783" Properties=species:S:1:pos:R:3 pbc="T T T"
Re 0.000 0.000 0.000
Rh 1.244 -1.168 1.959
Ni -0.755 -2.311 0.754
Ni -1.111 -0.278 2.332
```

---

Run Q
ReNi2Rh | meta-GGA SCAN | PBEsol geometry

**Total magnetic moment**: 0.000 μB per formula unit

Geometry as extended XYZ:
```
4
Lattice="2.621 0.000 0.000 0.000 4.404 -0.005 -1.311 -0.789 4.239" Properties=species:S:1:pos:R:3 pbc="T T T"
Re 1.311 2.209 0.017
Rh 1.311 0.721 2.106
Ni 1.311 3.570 4.216
Ni 0.000 2.930 2.127
```

---

Run R
ReNi2Rh | meta-GGA SCAN | PBEsol geometry

**Total magnetic moment**: 0.000 μB per formula unit

Geometry as extended XYZ:
```
4
Lattice="-1.478 -2.078 0.672 2.407 -2.234 -1.616 2.562 -0.407 4.378" Properties=species:S:1:pos:R:3 pbc="T T T"
Re 0.521 -1.239 2.489
Rh 3.124 -1.422 2.474
Ni -0.702 -1.045 0.398
Ni 1.829 -1.216 0.261
```

---

Of them, the most stable is run P and the least stable is run Q.

---

Run P
ReNiRh | meta-GGA SCAN | PBEsol geometry

**Total magnetic moment**: 0.001 μB per formula unit

Geometry as extended XYZ:
```
3
Lattice="2.677 0.000 0.000 0.000 2.677 0.000 -1.338 -1.338 5.396" Properties=species:S:1:pos:R:3 pbc="T T T"
Re 1.338 1.338 1.750
Rh 0.000 0.000 3.606
Ni 0.000 0.000 0.039
```

---

Run Q
ReNiRh | meta-GGA SCAN | PBEsol geometry

**Total magnetic moment**: 0.000 μB per formula unit

Geometry as extended XYZ:
```
3
Lattice="3.942 0.000 0.000 1.971 3.414 0.000 1.971 1.138 3.218" Properties=species:S:1:pos:R:3 pbc="T T T"
Ni 1.971 1.138 0.805
Re 0.000 0.000 0.000
Rh 3.942 2.276 1.609
```

---

Run R
ReNiRh | meta-GGA SCAN | PBEsol geometry

**Total magnetic moment**: 0.000 μB per formula unit

Geometry as extended XYZ:
```
3
Lattice="-1.318 0.430 2.274 0.646 -3.488 1.034 3.657 2.650 0.058" Properties=species:S:1:pos:R:3 pbc="T T T"
Re 0.753 -1.162 2.216
Rh 2.214 0.747 1.141
Ni 0.018 0.006 0.009
```

---

Of them, the most stable is run R and the least stable is run Q.

---

Run P
Re2NiRu | meta-GGA SCAN | PBEsol geometry

**Total magnetic moment**: 0.000 μB per formula unit

Geometry as extended XYZ:
```
4
Lattice="-2.274 -0.185 -1.427 0.271 -4.237 0.117 -2.461 -0.050 3.929" Properties=species:S:1:pos:R:3 pbc="T T T"
Re -0.123 -0.002 0.196
Re -1.616 -2.154 2.855
Ni -1.506 -2.221 0.151
Ru -2.448 -0.119 1.380
```

---

Run Q
Re2NiRu | meta-GGA SCAN | PBEsol geometry

**Total magnetic moment**: 0.707 μB per formula unit

Geometry as extended XYZ:
```
4
Lattice="4.242 0.000 0.000 2.121 3.673 0.000 2.121 1.224 3.463" Properties=species:S:1:pos:R:3 pbc="T T T"
Ni 0.000 0.000 0.000
Re 2.121 1.224 0.866
Re 6.362 3.673 2.597
Ru 4.242 2.449 1.732
```

---

Of them, the most stable is run P and the least stable is run Q.

---

Run P
ReNi2Ru | meta-GGA SCAN | PBEsol geometry

**Total magnetic moment**: 0.000 μB per formula unit

Geometry as extended XYZ:
```
4
Lattice="4.097 0.000 0.000 2.048 3.548 0.000 2.048 1.183 3.345" Properties=species:S:1:pos:R:3 pbc="T T T"
Ni 2.048 1.183 0.836
Ni 6.145 3.548 2.509
Re 0.000 0.000 0.000
Ru 4.097 2.365 1.673
```

---

Run Q
ReNi2Ru | meta-GGA SCAN | PBEsol geometry

**Total magnetic moment**: 0.000 μB per formula unit

Geometry as extended XYZ:
```
4
Lattice="-0.081 -0.576 -3.575 3.621 0.033 -0.088 -1.722 -3.391 2.420" Properties=species:S:1:pos:R:3 pbc="T T T"
Ni -0.017 -2.119 -1.493
Ni 1.834 -1.815 0.251
Re 1.770 -0.271 -1.831
Ru 0.000 0.000 0.000
```

---

Of them, the most stable is run Q and the least stable is run P.